*A*
! Na2BeCl4, relaxed, DFT GGA-PBE; values from VASP
&SYSTEM
  ibrav = 0, nat = 28, ntyp = 3
/
ATOMIC_SPECIES
Na 22.99 Na.upf
Be 9.01 Be.upf
Cl 35.45 Cl.upf
CELL_PARAMETERS angstrom
13.611 0.000 0.000
0.000 8.168 0.000
0.000 0.000 6.126
ATOMIC_POSITIONS crystal
Na 0.000 0.000 0.000
Na 0.000 0.500 0.000
Na 0.227 0.250 0.484
Na 0.273 0.750 0.984
Na 0.500 0.000 0.500
Na 0.500 0.500 0.500
Na 0.727 0.250 0.016
Na 0.773 0.750 0.516
Be 0.093 0.750 0.405
Be 0.407 0.250 0.905
Be 0.593 0.750 0.095
Be 0.907 0.250 0.595
Cl 0.048 0.250 0.714
Cl 0.094 0.750 0.735
Cl 0.163 0.549 0.279
Cl 0.163 0.951 0.279
Cl 0.337 0.049 0.779
Cl 0.337 0.451 0.779
Cl 0.406 0.250 0.235
Cl 0.452 0.750 0.214
Cl 0.548 0.250 0.786
Cl 0.594 0.750 0.765
Cl 0.663 0.549 0.221
Cl 0.663 0.951 0.221
Cl 0.837 0.049 0.721
Cl 0.837 0.451 0.721
Cl 0.906 0.250 0.265
Cl 0.952 0.750 0.286
! ρ in Mg/m³: 1.92
! Total magnetization in μB per formula unit: 0.00

***

*B*
! Na2BeCl4, relaxed, DFT GGA-PBE; values from VASP
&SYSTEM
  ibrav = 0, nat = 14, ntyp = 3
/
ATOMIC_SPECIES
Na 22.99 Na.upf
Be 9.01 Be.upf
Cl 35.45 Cl.upf
CELL_PARAMETERS angstrom
6.410 0.000 0.000
0.000 6.818 0.000
-2.226 0.000 7.352
ATOMIC_POSITIONS crystal
Na 0.209 0.250 0.049
Na 0.254 0.250 0.564
Na 0.746 0.750 0.436
Na 0.791 0.750 0.951
Be 0.243 0.750 0.804
Be 0.757 0.250 0.196
Cl 0.035 0.514 0.750
Cl 0.035 0.986 0.750
Cl 0.414 0.750 0.070
Cl 0.437 0.750 0.638
Cl 0.563 0.250 0.362
Cl 0.586 0.250 0.930
Cl 0.965 0.014 0.250
Cl 0.965 0.486 0.250
! ρ in Mg/m³: 2.03
! Total magnetization in μB per formula unit: 0.00

***

*A* wins, 2.7 kJ/mol of atoms ahead of the next structure.